Entry 1:
# La8C3Br4N, optimized geometry, DFT GGA-PBE
# M_tot (μB per formula unit): 0.0
# Formation energy (no corrections) (eV per atom): -1.054
data_La8C3Br4N
_chemical_formula_sum 'La8 C3 Br4 N1'
_space_group_name_H-M_alt 'P 1'
_space_group_IT_number 1
_space_group_name_Hall 'P 1'
_cell_length_a 7.706
_cell_length_b 8.861
_cell_length_c 7.723
_cell_angle_alpha 115.95
_cell_angle_beta 119.93
_cell_angle_gamma 90.00
loop_
_atom_site_label
_atom_site_type_symbol
_atom_site_fract_x
_atom_site_fract_y
_atom_site_fract_z
La1 La 0.226 0.683 0.957
La2 La 0.226 0.683 0.453
La3 La 0.271 0.315 0.543
La4 La 0.731 0.683 0.957
La5 La 0.269 0.317 0.043
La6 La 0.729 0.685 0.457
La7 La 0.774 0.317 0.547
La8 La 0.774 0.317 0.043
C1 C 0.500 0.500 0.000
C2 C 0.500 0.500 0.500
C3 C 0.000 0.500 0.500
Br1 Br 0.500 0.000 0.000
Br2 Br 0.500 0.000 0.500
Br3 Br 0.000 0.000 0.000
Br4 Br 0.000 0.000 0.500
N1 N 0.000 0.500 0.000

=====

Entry 2:
# La8CBr4N3, optimized geometry, DFT GGA-PBE
# M_tot (μB per formula unit): 0.0
# Formation energy (no corrections) (eV per atom): -1.344
data_La8CBr4N3
_chemical_formula_sum 'La8 C1 Br4 N3'
_space_group_name_H-M_alt 'P 1'
_space_group_IT_number 1
_space_group_name_Hall 'P 1'
_cell_length_a 7.635
_cell_length_b 8.748
_cell_length_c 7.640
_cell_angle_alpha 115.90
_cell_angle_beta 119.98
_cell_angle_gamma 90.00
loop_
_atom_site_label
_atom_site_type_symbol
_atom_site_fract_x
_atom_site_fract_y
_atom_site_fract_z
La1 La 0.229 0.681 0.953
La2 La 0.229 0.681 0.458
La3 La 0.273 0.320 0.547
La4 La 0.723 0.681 0.953
La5 La 0.277 0.319 0.047
La6 La 0.727 0.680 0.453
La7 La 0.771 0.319 0.542
La8 La 0.771 0.319 0.047
C1 C 0.000 0.500 0.000
Br1 Br 0.500 0.000 0.000
Br2 Br 0.500 0.000 0.500
Br3 Br 0.000 0.000 0.000
Br4 Br 0.000 0.000 0.500
N1 N 0.500 0.500 0.000
N2 N 0.500 0.500 0.500
N3 N 0.000 0.500 0.500

=====

Entry 3:
# La6C2Br3N, optimized geometry, DFT GGA-PBE
# M_tot (μB per formula unit): 0.0
# Formation energy (no corrections) (eV per atom): -1.106
data_La6C2Br3N
_chemical_formula_sum 'La6 C2 Br3 N1'
_space_group_name_H-M_alt 'P 1'
_space_group_IT_number 1
_space_group_name_Hall 'P 1'
_cell_length_a 6.666
_cell_length_b 6.666
_cell_length_c 7.956
_cell_angle_alpha 98.03
_cell_angle_beta 98.03
_cell_angle_gamma 120.00
loop_
_atom_site_label
_atom_site_type_symbol
_atom_site_fract_x
_atom_site_fract_y
_atom_site_fract_z
La1 La 0.939 0.609 0.817
La2 La 0.731 0.731 0.183
La3 La 0.061 0.391 0.183
La4 La 0.609 0.939 0.817
La5 La 0.269 0.269 0.817
La6 La 0.391 0.061 0.183
C1 C 0.334 0.666 0.000
C2 C 0.666 0.334 0.000
Br1 Br 0.169 0.831 0.500
Br2 Br 0.831 0.169 0.500
Br3 Br 0.500 0.500 0.500
N1 N 0.000 0.000 0.000

=====

Entry 4:
# LaC2BrO6, optimized geometry, DFT GGA-PBE
# M_tot (μB per formula unit): 0.0
# Formation energy (no corrections) (eV per atom): -1.746
data_LaC2BrO6
_chemical_formula_sum 'La2 C4 Br2 O12'
_space_group_name_H-M_alt 'P 1'
_space_group_IT_number 1
_space_group_name_Hall 'P 1'
_cell_length_a 6.789
_cell_length_b 6.789
_cell_length_c 7.883
_cell_angle_alpha 113.54
_cell_angle_beta 113.54
_cell_angle_gamma 89.03
loop_
_atom_site_label
_atom_site_type_symbol
_atom_site_fract_x
_atom_site_fract_y
_atom_site_fract_z
La1 La 0.581 0.419 0.250
La2 La 0.419 0.581 0.750
C1 C 0.378 0.101 0.711
C2 C 0.899 0.622 0.789
C3 C 0.622 0.899 0.289
C4 C 0.101 0.378 0.211
Br1 Br 0.099 0.901 0.250
Br2 Br 0.901 0.099 0.750
O1 O 0.915 0.376 0.211
O2 O 0.624 0.085 0.289
O3 O 0.085 0.624 0.789
O4 O 0.376 0.915 0.711
O5 O 0.137 0.301 0.044
O6 O 0.699 0.863 0.456
O7 O 0.863 0.699 0.956
O8 O 0.301 0.137 0.544
O9 O 0.283 0.460 0.376
O10 O 0.540 0.717 0.124
O11 O 0.717 0.540 0.624
O12 O 0.460 0.283 0.876

=====

Entry 5:
# La4CBr2O, optimized geometry, DFT GGA-PBE
# M_tot (μB per formula unit): 0.0
# Formation energy (no corrections) (eV per atom): -1.506
data_La4CBr2O
_chemical_formula_sum 'La4 C1 Br2 O1'
_space_group_name_H-M_alt 'P 1'
_space_group_IT_number 1
_space_group_name_Hall 'P 1'
_cell_length_a 3.855
_cell_length_b 6.618
_cell_length_c 7.831
_cell_angle_alpha 106.49
_cell_angle_beta 90.00
_cell_angle_gamma 90.00
loop_
_atom_site_label
_atom_site_type_symbol
_atom_site_fract_x
_atom_site_fract_y
_atom_site_fract_z
La1 La 0.500 0.229 0.182
La2 La 0.500 0.771 0.818
La3 La 0.000 0.271 0.816
La4 La 0.000 0.729 0.184
C1 C 0.500 0.500 0.000
Br1 Br 0.500 0.000 0.500
Br2 Br 0.000 0.500 0.500
O1 O 0.000 0.000 0.000

=====

Entry 6:
# La8C3Br4O, optimized geometry, DFT GGA-PBE
# M_tot (μB per formula unit): 0.0
# Formation energy (no corrections) (eV per atom): -1.219
data_La8C3Br4O
_chemical_formula_sum 'La8 C3 Br4 O1'
_space_group_name_H-M_alt 'P 1'
_space_group_IT_number 1
_space_group_name_Hall 'P 1'
_cell_length_a 7.685
_cell_length_b 8.829
_cell_length_c 7.726
_cell_angle_alpha 116.15
_cell_angle_beta 119.83
_cell_angle_gamma 90.00
loop_
_atom_site_label
_atom_site_type_symbol
_atom_site_fract_x
_atom_site_fract_y
_atom_site_fract_z
La1 La 0.228 0.682 0.956
La2 La 0.228 0.683 0.456
La3 La 0.271 0.314 0.542
La4 La 0.728 0.682 0.956
La5 La 0.272 0.318 0.044
La6 La 0.729 0.686 0.458
La7 La 0.772 0.317 0.544
La8 La 0.772 0.318 0.044
C1 C 0.500 0.500 0.000
C2 C 0.500 0.500 0.500
C3 C 0.000 0.500 0.500
Br1 Br 0.500 0.000 0.000
Br2 Br 0.500 0.000 0.500
Br3 Br 0.000 0.000 0.000
Br4 Br 0.000 0.000 0.500
O1 O 0.000 0.500 0.000